# 1
# Na4Ga3Au2, optimized geometry, DFT GGA-PBE
data_Na4Ga3Au2
_cell_length_a 15.4358
_cell_length_b 4.2377
_cell_length_c 7.0023
_cell_angle_alpha 90.00
_cell_angle_beta 109.89
_cell_angle_gamma 90.00
_space_group_name_H-M_alt 'C 1 2/m 1'
_space_group_IT_number 12
loop_
_space_group_symop_operation_xyz
'x,y,z'
'-x,-y,-z'
'-x,y,-z'
'x,-y,z'
'x+1/2,y+1/2,z'
'-x+1/2,-y+1/2,-z'
'-x+1/2,y+1/2,-z'
'x+1/2,-y+1/2,z'
loop_
_atom_site_label
_atom_site_type_symbol
_atom_site_fract_x
_atom_site_fract_y
_atom_site_fract_z
_atom_site_occupancy
Na1 Na 0.1062 0.0000 0.3812 1
Na2 Na 0.2293 0.5000 0.1618 1
Ga1 Ga 0.0000 0.5000 0.0000 1
Ga2 Ga 0.0787 0.5000 0.6770 1
Au1 Au 0.0855 0.0000 0.9064 1
# ΔE_f, eV/atom: -0.229
# E_tot, eV/cell: -46.0
# Fermi-level density of states, states/eV per atom: 0.261
# Size of the total moment, μB/f.u.: 0.00
# Density, g/cm³: 5.4

=====

# 2
# Na2Ga2Au, optimized geometry, DFT GGA-PBE
data_Na2Ga2Au
_cell_length_a 9.3260
_cell_length_b 5.7949
_cell_length_c 8.6967
_cell_angle_alpha 90.00
_cell_angle_beta 99.02
_cell_angle_gamma 90.00
_space_group_name_H-M_alt 'C 1 2/c 1'
_space_group_IT_number 15
loop_
_space_group_symop_operation_xyz
'x,y,z'
'-x,-y,-z'
'-x,y,-z+1/2'
'x,-y,z+1/2'
'x+1/2,y+1/2,z'
'-x+1/2,-y+1/2,-z'
'-x+1/2,y+1/2,-z+1/2'
'x+1/2,-y+1/2,z+1/2'
loop_
_atom_site_label
_atom_site_type_symbol
_atom_site_fract_x
_atom_site_fract_y
_atom_site_fract_z
_atom_site_occupancy
Na1 Na 0.1541 0.1129 0.1709 1
Ga1 Ga 0.1257 0.3654 0.5065 1
Au1 Au 0.0000 0.4260 0.7500 1
# ΔE_f, eV/atom: -0.221
# E_tot, eV/cell: -52.3
# Fermi-level density of states, states/eV per atom: 0.376
# Excess energy over the best structure of this formula in the dataset, meV per atom: 0
# Size of the total moment, μB/f.u.: 0.00
# Density, g/cm³: 5.5